Crystalline SrMoI2O at its relaxed geometry, computed with PBE+U.

E above lowest polymorph, eV/atom: 0.000
Space-group type: P4/mmm (123)

Cell: 6.212 6.212 3.992 Å, 90.00 90.00 90.00°
Atoms (fractional coordinates):
Sr  0.000  0.000  0.000
Mo  0.500  0.500  0.500
I  0.000  0.500  0.500
I  0.500  0.000  0.500
O  0.500  0.500  0.000